(P)
Compound: TlIn2Pb
Source: Alexandria
Functional: PBEsol
Structure: relaxed

a b c (Å): 6.5392 10.9377 3.3217
angles (deg): 90.00 113.31 90.00
Closest atoms and distances in Å follow each position.
Positions (direct):
Tl 0.0000 0.0000 0.0000  4 Pb 3.27-3.62, 4 In 3.28, 2 Tl 3.32
Tl 0.5000 0.5000 0.0000  4 Pb 3.27-3.62, 4 In 3.28, 2 Tl 3.32
In 0.2500 0.2500 0.5000  6 In 3.27-3.62, 2 Tl 3.28, 2 Pb 3.28
In 0.2500 0.7500 0.5000  6 In 3.27-3.62, 2 Tl 3.28, 2 Pb 3.28
In 0.7500 0.2500 0.5000  6 In 3.27-3.62, 2 Tl 3.28, 2 Pb 3.28
In 0.7500 0.7500 0.5000  6 In 3.27-3.62, 2 Tl 3.28, 2 Pb 3.28
Pb 0.0000 0.5000 0.0000  4 Tl 3.27-3.62, 4 In 3.28, 2 Pb 3.32
Pb 0.5000 0.0000 0.0000  4 Tl 3.27-3.62, 4 In 3.28, 2 Pb 3.32

SG: C2/m, No. 12

(Q)
Compound: TlIn2Pb
Source: Alexandria
Functional: PBEsol
Structure: relaxed

a b c (Å): 3.3996 3.3996 32.6637
angles (deg): 90.00 90.00 120.00
Closest atoms and distances in Å follow each position.
Positions (direct):
Tl 0.0000 0.0000 0.0000  3 In 3.34, 6 Tl 3.40, 3 Pb 3.50
Tl 0.3333 0.6667 0.6667  3 In 3.34, 6 Tl 3.40, 3 Pb 3.50
Tl 0.6667 0.3333 0.3333  3 In 3.34, 6 Tl 3.40, 3 Pb 3.50
In 0.0000 0.0000 0.4943  9 In 3.22-3.40, 3 Pb 3.36
In 0.0000 0.0000 0.7493  9 In 3.22-3.40, 3 Tl 3.34
In 0.3333 0.6667 0.1610  9 In 3.22-3.40, 3 Pb 3.36
In 0.3333 0.6667 0.4160  9 In 3.22-3.40, 3 Tl 3.34
In 0.6667 0.3333 0.0826  9 In 3.22-3.40, 3 Tl 3.34
In 0.6667 0.3333 0.8276  9 In 3.22-3.40, 3 Pb 3.36
Pb 0.0000 0.0000 0.2446  3 In 3.36, 6 Pb 3.40, 3 Tl 3.50
Pb 0.3333 0.6667 0.9113  3 In 3.36, 6 Pb 3.40, 3 Tl 3.50
Pb 0.6667 0.3333 0.5779  3 In 3.36, 6 Pb 3.40, 3 Tl 3.50

SG: R3m, No. 160

(R)
Compound: TlIn2Pb
Source: Alexandria
Functional: PBEsol
Structure: relaxed

a b c (Å): 3.3116 5.4160 6.1450
angles (deg): 90.00 97.00 90.00
Closest atoms and distances in Å follow each position.
Positions (direct):
Tl 0.0000 0.0000 0.0000  5 In 3.28-3.50, 2 Tl 3.31, 4 Pb 3.40-3.66
In 0.5576 0.0000 0.4896  4 In 3.17-3.31, 2 Pb 3.26, 3 Tl 3.30-3.50
In 0.7806 0.5000 0.2635  4 In 3.17-3.31, 2 Tl 3.28, 3 Pb 3.28-3.45
Pb 0.3609 0.5000 0.7513  5 In 3.26-3.45, 2 Pb 3.31, 2 Tl 3.40

SG: Pm, No. 6

Tell me which of them is the most stable. Sure, it is (Q).

(P)
Compound: Tl2InPb
Source: Alexandria
Functional: PBEsol
Structure: relaxed

a b c (Å): 4.8402 4.8402 9.4568
angles (deg): 90.00 90.00 90.00
Closest atoms and distances in Å follow each position.
Positions (direct):
Tl 0.0000 0.5000 0.2500  4 Pb 3.38, 4 In 3.38, 4 Tl 3.42
Tl 0.0000 0.5000 0.7500  4 In 3.38, 4 Pb 3.38, 4 Tl 3.42
Tl 0.5000 0.0000 0.2500  4 Pb 3.38, 4 In 3.38, 4 Tl 3.42
Tl 0.5000 0.0000 0.7500  4 In 3.38, 4 Pb 3.38, 4 Tl 3.42
In 0.0000 0.0000 0.0000  8 Tl 3.38, 4 Pb 3.42
In 0.5000 0.5000 0.5000  8 Tl 3.38, 4 Pb 3.42
Pb 0.0000 0.0000 0.5000  8 Tl 3.38, 4 In 3.42
Pb 0.5000 0.5000 0.0000  8 Tl 3.38, 4 In 3.42

SG: I4/mmm, No. 139

(Q)
Compound: Tl2InPb
Source: Alexandria
Functional: PBEsol
Structure: relaxed

a b c (Å): 3.3528 4.7264 7.0357
angles (deg): 90.00 90.00 90.00
Closest atoms and distances in Å follow each position.
Positions (direct):
Tl 0.0000 0.0000 0.0000  6 Tl 3.35-3.40, 4 Pb 3.44, 2 In 3.50-3.54
Tl 0.5000 0.5000 0.2520  6 Tl 3.35-3.40, 4 In 3.37, 2 Pb 3.41-3.62
In 0.0000 0.0000 0.4975  4 Pb 3.35, 2 In 3.35, 6 Tl 3.37-3.54
Pb 0.5000 0.5000 0.7368  4 In 3.35, 2 Pb 3.35, 6 Tl 3.41-3.62

SG: Pmm2, No. 25

(R)
Compound: Tl2InPb
Source: Alexandria
Functional: PBEsol
Structure: relaxed

a b c (Å): 3.6686 5.5812 10.8695
angles (deg): 90.00 90.00 90.00
Closest atoms and distances in Å follow each position.
Positions (direct):
Tl 0.0000 0.0000 0.2426  2 In 3.21, 4 Tl 3.34, 2 Pb 3.35
Tl 0.0000 0.0000 0.7574  2 In 3.21, 4 Tl 3.34, 2 Pb 3.35
Tl 0.5000 0.5000 0.2574  2 In 3.21, 4 Tl 3.34, 2 Pb 3.35
Tl 0.5000 0.5000 0.7426  2 In 3.21, 4 Tl 3.34, 2 Pb 3.35
In 0.0000 0.5000 0.5000  4 Tl 3.21, 4 Pb 3.34
In 0.5000 0.0000 0.0000  4 Tl 3.21, 4 Pb 3.34
Pb 0.0000 0.5000 0.0000  4 In 3.34, 4 Tl 3.35, 2 Pb 3.67
Pb 0.5000 0.0000 0.5000  4 In 3.34, 4 Tl 3.35, 2 Pb 3.67

SG: Immm, No. 71

Tell me which of them is the most stable. Sure, it is (Q).

(P)
Compound: Tl2InPb
Source: Alexandria
Functional: PBEsol
Structure: relaxed

a b c (Å): 7.6620 7.6620 7.6620
angles (deg): 90.00 90.00 90.00
Closest atoms and distances in Å follow each position.
Positions (direct):
Tl 0.0000 0.0000 0.0000  4 Tl 3.32, 4 Pb 3.32
Tl 0.0000 0.5000 0.5000  4 Tl 3.32, 4 Pb 3.32
Tl 0.2500 0.2500 0.2500  4 Tl 3.32, 4 In 3.32
Tl 0.2500 0.7500 0.7500  4 In 3.32, 4 Tl 3.32
Tl 0.5000 0.0000 0.5000  4 Tl 3.32, 4 Pb 3.32
Tl 0.5000 0.5000 0.0000  4 Tl 3.32, 4 Pb 3.32
Tl 0.7500 0.2500 0.7500  4 In 3.32, 4 Tl 3.32
Tl 0.7500 0.7500 0.2500  4 In 3.32, 4 Tl 3.32
In 0.0000 0.0000 0.5000  4 Pb 3.32, 4 Tl 3.32
In 0.0000 0.5000 0.0000  4 Pb 3.32, 4 Tl 3.32
In 0.5000 0.0000 0.0000  4 Pb 3.32, 4 Tl 3.32
In 0.5000 0.5000 0.5000  4 Pb 3.32, 4 Tl 3.32
Pb 0.2500 0.2500 0.7500  4 Tl 3.32, 4 In 3.32
Pb 0.2500 0.7500 0.2500  4 Tl 3.32, 4 In 3.32
Pb 0.7500 0.2500 0.2500  4 Tl 3.32, 4 In 3.32
Pb 0.7500 0.7500 0.7500  4 Tl 3.32, 4 In 3.32

SG: F-43m, No. 216

(Q)
Compound: Tl2InPb
Source: Alexandria
Functional: PBEsol
Structure: relaxed

a b c (Å): 3.4064 3.4064 9.6941
angles (deg): 90.00 90.00 90.00
Closest atoms and distances in Å follow each position.
Positions (direct):
Tl 0.0000 0.0000 0.2422  4 In 3.36, 4 Tl 3.41, 4 Pb 3.47
Tl 0.0000 0.0000 0.7578  4 In 3.36, 4 Tl 3.41, 4 Pb 3.47
In 0.5000 0.5000 0.0000  8 Tl 3.36, 4 In 3.41
Pb 0.5000 0.5000 0.5000  4 Pb 3.41, 8 Tl 3.47

SG: P4/mmm, No. 123

Tell me which of them is the most stable. Sure, it is (Q).

(P)
Compound: Tl2InPb
Source: Alexandria
Functional: PBEsol
Structure: relaxed

a b c (Å): 3.4417 3.4417 32.5877
angles (deg): 90.00 90.00 120.00
Closest atoms and distances in Å follow each position.
Positions (direct):
Tl 0.0000 0.0000 0.2477  3 In 3.31, 3 Pb 3.42, 6 Tl 3.44
Tl 0.0000 0.0000 0.7523  3 In 3.31, 3 Pb 3.42, 6 Tl 3.44
Tl 0.3333 0.6667 0.4189  3 In 3.31, 3 Pb 3.42, 6 Tl 3.44
Tl 0.3333 0.6667 0.9144  3 In 3.31, 3 Pb 3.42, 6 Tl 3.44
Tl 0.6667 0.3333 0.0856  3 In 3.31, 3 Pb 3.42, 6 Tl 3.44
Tl 0.6667 0.3333 0.5811  3 In 3.31, 3 Pb 3.42, 6 Tl 3.44
In 0.0000 0.0000 0.5000  6 Tl 3.31, 6 In 3.44
In 0.3333 0.6667 0.1667  6 Tl 3.31, 6 In 3.44
In 0.6667 0.3333 0.8333  6 Tl 3.31, 6 In 3.44
Pb 0.0000 0.0000 0.0000  6 Tl 3.42, 6 Pb 3.44
Pb 0.3333 0.6667 0.6667  6 Tl 3.42, 6 Pb 3.44
Pb 0.6667 0.3333 0.3333  6 Tl 3.42, 6 Pb 3.44

SG: R-3m, No. 166

(Q)
Compound: Tl2InPb
Source: Alexandria
Functional: PBEsol
Structure: relaxed

a b c (Å): 3.6435 5.6029 10.9379
angles (deg): 90.00 90.00 90.00
Closest atoms and distances in Å follow each position.
Positions (direct):
Tl 0.0000 0.0000 0.0000  2 In 3.23, 2 Tl 3.31, 4 Pb 3.34
Tl 0.0000 0.5000 0.2470  4 Tl 3.31-3.64, 4 In 3.34, 2 Pb 3.36
Tl 0.5000 0.0000 0.7470  4 Tl 3.31-3.64, 4 In 3.34, 2 Pb 3.36
Tl 0.5000 0.5000 0.5000  2 In 3.23, 2 Tl 3.31, 4 Pb 3.34
In 0.0000 0.5000 0.7435  6 Tl 3.23-3.34, 2 Pb 3.25
In 0.5000 0.0000 0.2435  6 Tl 3.23-3.34, 2 Pb 3.25
Pb 0.0000 0.0000 0.4892  2 In 3.25, 6 Tl 3.34-3.36
Pb 0.5000 0.5000 0.9892  2 In 3.25, 6 Tl 3.34-3.36

SG: Imm2, No. 44

(R)
Compound: Tl2InPb
Source: Alexandria
Functional: PBEsol
Structure: relaxed

a b c (Å): 3.7785 5.5209 10.7097
angles (deg): 90.00 90.00 90.00
Closest atoms and distances in Å follow each position.
Positions (direct):
Tl 0.0000 0.0000 0.0000  2 In 3.22, 6 Tl 3.30-3.35
Tl 0.0000 0.5000 0.2531  6 Tl 3.30-3.35, 2 Pb 3.35
Tl 0.5000 0.0000 0.2531  6 Tl 3.30-3.35, 2 Pb 3.35
Tl 0.5000 0.5000 0.0000  2 In 3.22, 6 Tl 3.30-3.35
In 0.0000 0.5000 0.7566  2 Tl 3.22, 2 Pb 3.24, 4 In 3.35
In 0.5000 0.0000 0.7566  2 Tl 3.22, 2 Pb 3.24, 4 In 3.35
Pb 0.0000 0.0000 0.5113  2 In 3.24, 4 Pb 3.35, 2 Tl 3.35
Pb 0.5000 0.5000 0.5113  2 In 3.24, 4 Pb 3.35, 2 Tl 3.35

SG: Cmm2, No. 35

Tell me which of them is the most stable. Sure, it is (P).

(P)
Compound: Tl2InPb
Source: Alexandria
Functional: PBEsol
Structure: relaxed

a b c (Å): 4.8958 4.8958 9.2597
angles (deg): 90.00 90.00 90.00
Closest atoms and distances in Å follow each position.
Positions (direct):
Tl 0.0000 0.0000 0.0000  4 Tl 3.37, 4 Pb 3.37, 4 In 3.46
Tl 0.0000 0.5000 0.2500  4 Tl 3.37, 4 In 3.37, 4 Pb 3.46
Tl 0.5000 0.0000 0.7500  4 Tl 3.37, 4 In 3.37, 4 Pb 3.46
Tl 0.5000 0.5000 0.5000  4 Tl 3.37, 4 Pb 3.37, 4 In 3.46
In 0.0000 0.0000 0.5000  8 Tl 3.37-3.46, 4 Pb 3.37
In 0.5000 0.5000 0.0000  8 Tl 3.37-3.46, 4 Pb 3.37
Pb 0.0000 0.5000 0.7500  8 Tl 3.37-3.46, 4 In 3.37
Pb 0.5000 0.0000 0.2500  8 Tl 3.37-3.46, 4 In 3.37

SG: I-4m2, No. 119

(Q)
Compound: Tl2InPb
Source: Alexandria
Functional: PBEsol
Structure: relaxed

a b c (Å): 3.7710 5.5407 10.6807
angles (deg): 90.00 90.00 90.00
Closest atoms and distances in Å follow each position.
Positions (direct):
Tl 0.0000 0.0000 0.2435  2 In 3.21, 2 Pb 3.33, 4 Tl 3.35
Tl 0.0000 0.0000 0.7565  2 In 3.21, 2 Pb 3.33, 4 Tl 3.35
Tl 0.5000 0.5000 0.2435  2 In 3.21, 2 Pb 3.33, 4 Tl 3.35
Tl 0.5000 0.5000 0.7565  2 In 3.21, 2 Pb 3.33, 4 Tl 3.35
In 0.0000 0.5000 0.0000  4 Tl 3.21, 4 In 3.35
In 0.5000 0.0000 0.0000  4 Tl 3.21, 4 In 3.35
Pb 0.0000 0.5000 0.5000  4 Tl 3.33, 4 Pb 3.35
Pb 0.5000 0.0000 0.5000  4 Tl 3.33, 4 Pb 3.35

SG: Cmmm, No. 65

(R)
Compound: Tl2InPb
Source: Alexandria
Functional: PBEsol
Structure: relaxed

a b c (Å): 3.4786 3.4786 9.2063
angles (deg): 90.00 90.00 90.00
Closest atoms and distances in Å follow each position.
Positions (direct):
Tl 0.0000 0.0000 0.0000  8 Tl 3.42-3.48, 4 Pb 3.42
Tl 0.5000 0.5000 0.2577  4 In 3.31, 8 Tl 3.42-3.48
In 0.0000 0.0000 0.4983  4 Tl 3.31, 4 Pb 3.33, 4 In 3.48
Pb 0.5000 0.5000 0.7416  4 In 3.33, 4 Tl 3.42, 4 Pb 3.48

SG: P4mm, No. 99

Tell me which of them is the most stable. Sure, it is (R).